A relaxed Ti2RuAu crystal. Source: Alexandria via LeMat-Bulk, functional PBE.

Lattice parameters (Å, degrees): 7.0233 7.0233 5.5606 90.00 90.00 90.00
Fractional positions:
Ti 0.2220 0.2500 0.1250
Ti 0.2500 0.7220 0.3750
Ti 0.2500 0.7780 0.8750
Ti 0.2780 0.2500 0.6250
Ti 0.7220 0.7500 0.6250
Ti 0.7500 0.2220 0.8750
Ti 0.7500 0.2780 0.3750
Ti 0.7780 0.7500 0.1250
Ru 0.0000 0.0000 0.0000
Ru 0.0000 0.5000 0.2500
Ru 0.5000 0.0000 0.7500
Ru 0.5000 0.5000 0.5000
Au 0.0000 0.0000 0.5000
Au 0.0000 0.5000 0.7500
Au 0.5000 0.0000 0.2500
Au 0.5000 0.5000 0.0000

Output
Its space-group type is I-42d (122). As for the density of states at the Fermi level: 1.53 states/eV/atom. For the calculated formation energy, the calculation gives -0.061 eV/atom.

---

A relaxed LaTlPb2 crystal. Source: Alexandria via LeMat-Bulk, functional PBE.

Lattice parameters (Å, degrees): 3.5538 3.5538 9.8719 90.00 90.00 90.00
Fractional positions:
La 0.0000 0.0000 0.0000
Tl 0.5000 0.5000 0.7556
Pb 0.0000 0.0000 0.5158
Pb 0.5000 0.5000 0.2517

Output
Its space-group type is P4mm (99). As for the density of states at the Fermi level: 0.54 states/eV/atom. For the calculated formation energy, the calculation gives -0.168 eV/atom.

---

A relaxed P2IBr crystal. Source: Alexandria via LeMat-Bulk, functional PBE.

Lattice parameters (Å, degrees): 7.0389 7.0389 7.0389 90.00 90.00 90.00
Fractional positions:
P 0.2500 0.2500 0.2500
P 0.2500 0.2500 0.7500
P 0.2500 0.7500 0.2500
P 0.2500 0.7500 0.7500
P 0.7500 0.2500 0.2500
P 0.7500 0.2500 0.7500
P 0.7500 0.7500 0.2500
P 0.7500 0.7500 0.7500
I 0.0000 0.0000 0.0000
I 0.0000 0.5000 0.5000
I 0.5000 0.0000 0.5000
I 0.5000 0.5000 0.0000
Br 0.0000 0.0000 0.5000
Br 0.0000 0.5000 0.0000
Br 0.5000 0.0000 0.0000
Br 0.5000 0.5000 0.5000

Output
Its space-group type is Fm-3m (225). As for the density of states at the Fermi level: 0.98 states/eV/atom. Its raw formation energy is 413 kJ/mol of formula units.

---

A relaxed NaMgCdAg crystal. Source: Alexandria via LeMat-Bulk, functional PBE.

Lattice parameters (Å, degrees): 7.0133 7.0133 7.0133 90.00 90.00 90.00
Fractional positions:
Na 0.0000 0.0000 0.0000
Na 0.0000 0.5000 0.5000
Na 0.5000 0.0000 0.5000
Na 0.5000 0.5000 0.0000
Mg 0.0000 0.0000 0.5000
Mg 0.0000 0.5000 0.0000
Mg 0.5000 0.0000 0.0000
Mg 0.5000 0.5000 0.5000
Cd 0.2500 0.2500 0.2500
Cd 0.2500 0.7500 0.7500
Cd 0.7500 0.2500 0.7500
Cd 0.7500 0.7500 0.2500
Ag 0.2500 0.2500 0.7500
Ag 0.2500 0.7500 0.2500
Ag 0.7500 0.2500 0.2500
Ag 0.7500 0.7500 0.7500

Output
Its space-group type is F-43m (216). As for the density of states at the Fermi level: 0.77 states/eV/atom. For the calculated formation energy, the calculation gives -0.050 eV/atom.

---

A relaxed PmSmCu crystal. Source: Alexandria via LeMat-Bulk, functional PBE.

Lattice parameters (Å, degrees): 4.8568 4.8568 3.8104 90.00 90.00 120.00
Fractional positions:
Pm 0.0000 0.0000 0.0000
Sm 0.6667 0.3333 0.4448
Cu 0.3333 0.6667 0.7137

Output
Its space-group type is P3m1 (156). As for the density of states at the Fermi level: 0.93 states/eV/atom. For the calculated formation energy, the calculation gives 0.064 eV/atom.

---

A relaxed LiGa4Ag2 crystal. Source: Alexandria via LeMat-Bulk, functional PBE.

Lattice parameters (Å, degrees): 6.8077 12.0351 3.0259 90.00 90.00 90.00
Fractional positions:
Li 0.0000 0.0000 0.0000
Li 0.5000 0.5000 0.0000
Ga 0.0008 0.2258 0.0000
Ga 0.2013 0.6087 0.5000
Ga 0.2987 0.1087 0.5000
Ga 0.4992 0.7258 0.0000
Ga 0.5008 0.2742 0.0000
Ga 0.7013 0.8913 0.5000
Ga 0.7987 0.3913 0.5000
Ga 0.9992 0.7742 0.0000
Ag 0.2096 0.3864 0.5000
Ag 0.2904 0.8864 0.5000
Ag 0.7096 0.1136 0.5000
Ag 0.7904 0.6136 0.5000

Output
Its space-group type is Pbam (55). As for the density of states at the Fermi level: 0.28 states/eV/atom. For the calculated formation energy, the calculation gives -0.085 eV/atom.